12
Lattice="-2.9884 3.1876 3.9542 -2.4671 -4.9653 -1.9965 4.9166 -1.7044 2.7658" Properties=species:S:1:pos:R:3 comment="GGA+U MnCu2NiF8, relaxed" sg="No. 119" e_tot_ev_per_atom=-4.45 volume_a3_per_cell=154.8 pbc="T T T"
Mn -0.1391 -3.7793 0.8740
Cu -0.3998 0.2971 3.8494
Cu -2.7277 -0.8889 0.9789
Ni 0.0000 0.0000 0.0000
F -1.5816 -4.4568 -0.4073
F -2.5365 -2.7394 1.3324
F 1.1252 -1.0270 3.7041
F -0.6456 -3.7368 2.8548
F -1.7977 -0.3668 2.5436
F 0.2408 -1.8429 0.3377
F 1.4298 -5.0806 0.7111
F 2.1311 -2.8310 1.8668

8
Lattice="7.0426 0.0000 0.0000 0.0000 7.0426 0.0000 3.5213 3.5213 2.6361" Properties=species:S:1:pos:R:3 comment="GGA+U TaMn2F, relaxed" sg="No. 122" polymorph_energy_mev_per_atom=0 volume_a3_per_cell=130.7 pbc="T T T"
F 3.5213 3.5213 0.0000
F 3.5213 7.0426 1.3180
Mn 4.8148 1.7606 0.6590
Mn 2.2278 5.2819 0.6590
Mn 5.2819 5.7491 1.9770
Mn 8.8032 8.3360 1.9770
Ta 0.0000 0.0000 0.0000
Ta 7.0426 3.5213 1.3180